# MnPPtPb2 | Alexandria via LeMat-Bulk | PBE | relaxed
# ΔH_f (0 K): 0.50 eV/atom
# total magnetic moment: 4.4 μB/f.u.
# calculated volume: 142.8 Å³ per cell
# density: 8.084 Mg/m³
# DOS(E_F): 0.755 states/eV per atom
data_MnPPtPb2
_chemical_formula_sum 'Mn1 P1 Pt1 Pb2'
_space_group_name_H-M_alt 'P 4/m m m'
_space_group_IT_number 123
_space_group_name_Hall '-P 4 2'
_cell_length_a 5.7285
_cell_length_b 5.7285
_cell_length_c 4.3529
_cell_angle_alpha 90.00
_cell_angle_beta 90.00
_cell_angle_gamma 90.00
loop_
_atom_site_label
_atom_site_fract_x
_atom_site_fract_y
_atom_site_fract_z
_atom_site_occupancy
Mn1 0.0000 0.0000 0.0000 1
P1 0.5000 0.5000 0.0000 1
Pt1 0.5000 0.5000 0.5000 1
Pb1 0.0000 0.5000 0.5000 1

***

# MnP2Pt7Pb2 | Alexandria via LeMat-Bulk | PBE | relaxed
# ΔH_f (0 K): -0.40 eV/atom
# total magnetic moment: 4.1 μB/f.u.
# calculated volume: 459.5 Å³ per cell
# density: 13.711 Mg/m³
# DOS(E_F): 0.353 states/eV per atom
data_MnP2Pt7Pb2
_chemical_formula_sum 'Mn2 P4 Pt14 Pb4'
_space_group_name_H-M_alt 'I 4/m m m'
_space_group_IT_number 139
_space_group_name_Hall '-I 4 2'
_cell_length_a 3.9255
_cell_length_b 3.9255
_cell_length_c 29.8164
_cell_angle_alpha 90.00
_cell_angle_beta 90.00
_cell_angle_gamma 90.00
loop_
_atom_site_label
_atom_site_fract_x
_atom_site_fract_y
_atom_site_fract_z
_atom_site_occupancy
Mn1 0.0000 0.0000 0.0000 1
P1 0.0000 0.0000 0.3872 1
Pt1 0.0000 0.0000 0.3106 1
Pt2 0.0000 0.0000 0.5000 1
Pt3 0.0000 0.5000 0.0682 1
Pb1 0.0000 0.0000 0.2106 1

***

# MnPRuPb2 | Alexandria via LeMat-Bulk | PBE | relaxed
# ΔH_f (0 K): 1.27 eV/atom
# total magnetic moment: 0.2 μB/f.u.
# calculated volume: 122.8 Å³ per cell
# density: 8.135 Mg/m³
# DOS(E_F): 1.572 states/eV per atom
data_MnPRuPb2
_chemical_formula_sum 'Mn1 P1 Ru1 Pb2'
_space_group_name_H-M_alt 'P 4/m m m'
_space_group_IT_number 123
_space_group_name_Hall '-P 4 2'
_cell_length_a 5.3277
_cell_length_b 5.3277
_cell_length_c 4.3249
_cell_angle_alpha 90.00
_cell_angle_beta 90.00
_cell_angle_gamma 90.00
loop_
_atom_site_label
_atom_site_fract_x
_atom_site_fract_y
_atom_site_fract_z
_atom_site_occupancy
Mn1 0.0000 0.0000 0.0000 1
P1 0.5000 0.5000 0.5000 1
Ru1 0.5000 0.5000 0.0000 1
Pb1 0.0000 0.5000 0.5000 1

***

# MnPPbS2 | Alexandria via LeMat-Bulk | PBE | relaxed
# E above lowest polymorph: 1036.8 meV per atom
# total magnetic moment: 3.7 μB/f.u.
# calculated volume: 138.9 Å³ per cell
# density: 4.270 Mg/m³
# DOS(E_F): 0.940 states/eV per atom
data_MnPPbS2
_chemical_formula_sum 'Mn1 P1 Pb1 S2'
_space_group_name_H-M_alt 'P 4/m m m'
_space_group_IT_number 123
_space_group_name_Hall '-P 4 2'
_cell_length_a 5.1822
_cell_length_b 5.1822
_cell_length_c 5.1734
_cell_angle_alpha 90.00
_cell_angle_beta 90.00
_cell_angle_gamma 90.00
loop_
_atom_site_label
_atom_site_fract_x
_atom_site_fract_y
_atom_site_fract_z
_atom_site_occupancy
Mn1 0.0000 0.0000 0.0000 1
P1 0.5000 0.5000 0.0000 1
Pb1 0.5000 0.5000 0.5000 1
S1 0.0000 0.5000 0.5000 1

***

- The highest calculated volume belongs to which entry?
  MnP2Pt7Pb2

***

- Which value of total magnetic moment does entry 1 give?
  4.4 μB/f.u.